GaTe3Pd: single point on PBEsol structure, SCAN.

Cell lengths 5.2495, 5.2495, 5.2495 Å; angles 90.00, 90.00, 90.00 degrees
Closest atoms and distances in Å follow each position.
Space group Pm-3m (No. 221)
Asymmetric unit:
Ga (0.0000, 0.0000, 0.0000) [1 per cell]  12 Te 3.71
Te (0.0000, 0.5000, 0.5000) [3 per cell]  2 Pd 2.62
Pd (0.5000, 0.5000, 0.5000) [1 per cell]  6 Te 2.62

Computed properties:
N(E_F): 4.07 states/eV per cell
electronic total energy: -31.92 eV/atom
energy relative to the elements, uncorrected: 24.8 kJ per mole of atoms
size of the total moment: 0.00 μB/atom

Ti3GaPd: single point on PBEsol structure, SCAN.

Cell lengths 4.6738, 4.6738, 4.6738 Å; angles 90.00, 90.00, 90.00 degrees
Closest atoms and distances in Å follow each position.
Space group Pm-3m (No. 221)
Asymmetric unit:
Ti (0.0000, 0.0000, 0.5000) [3 per cell]  2 Pd 2.34
Ga (0.5000, 0.5000, 0.5000) [1 per cell]  12 Ti 3.30
Pd (0.0000, 0.0000, 0.0000) [1 per cell]  6 Ti 2.34

Computed properties:
N(E_F): 5.64 states/eV per cell
energy relative to the elements: 0.40 eV/atom
electronic total energy: -19.04 eV/atom
size of the total moment: 0.00 μB/atom

TiGaPd: single point on PBEsol structure, SCAN.

Cell lengths 4.3856, 4.3856, 5.3024 Å; angles 90.00, 90.00, 120.00 degrees
Closest atoms and distances in Å follow each position.
Space group P6_3/mmc (No. 194)
Asymmetric unit:
Ti (0.0000, 0.0000, 0.0000) [2 per cell]  2 Ti 2.65, 6 Pd 2.86, 6 Ga 2.86
Ga (0.3333, 0.6667, 0.2500) [2 per cell]  5 Pd 2.53-2.65
Pd (0.3333, 0.6667, 0.7500) [2 per cell]  5 Ga 2.53-2.65

Computed properties:
N(E_F): 3.50 states/eV per cell
energy relative to the elements: -0.74 eV/atom
electronic total energy: -22.46 eV/atom
size of the total moment: 0.00 μB/atom

Tl3GaPd: single point on PBEsol structure, SCAN.

Cell lengths 5.1807, 5.1807, 5.1807 Å; angles 90.00, 90.00, 90.00 degrees
Closest atoms and distances in Å follow each position.
Space group Pm-3m (No. 221)
Asymmetric unit:
Tl (0.0000, 0.0000, 0.5000) [3 per cell]  2 Ga 2.59
Ga (0.0000, 0.0000, 0.0000) [1 per cell]  6 Tl 2.59
Pd (0.5000, 0.5000, 0.5000) [1 per cell]  12 Tl 3.66

Computed properties:
N(E_F): 2.31 states/eV per cell
energy relative to the elements: 0.56 eV/atom
electronic total energy: -52.68 eV/atom
size of the total moment: 0.00 μB/atom

Tm4Ga12Pd: single point on PBEsol structure, SCAN.

Cell lengths 8.4316, 8.4316, 8.4316 Å; angles 90.00, 90.00, 90.00 degrees
Closest atoms and distances in Å follow each position.
Space group Im-3m (No. 229)
Asymmetric unit:
Tm (0.2500, 0.2500, 0.2500) [8 per cell]  12 Ga 2.98-3.01
Ga (0.0000, 0.0000, 0.2969) [12 per cell]  1 Pd 2.50, 4 Ga 2.72
Ga (0.0000, 0.2500, 0.5000) [12 per cell]  8 Ga 2.72-2.98, 4 Tm 2.98
Pd (0.0000, 0.0000, 0.0000) [2 per cell]  6 Ga 2.50

Computed properties:
N(E_F): 6.59 states/eV per cell
energy relative to the elements: -0.66 eV/atom
electronic total energy: -26.33 eV/atom
size of the total moment: 0.00 μB/atom

Tm6Ga17Pd5: single point on PBEsol structure, SCAN.

Cell lengths 15.4504, 4.1574, 15.4467 Å; angles 90.00, 104.15, 90.00 degrees
Closest atoms and distances in Å follow each position.
Space group C2/m (No. 12)
Asymmetric unit:
Tm (0.0906, 0.0000, 0.4064) [4 per cell]  4 Pd 2.99-3.06, 8 Ga 3.00-3.06
Tm (0.1012, 0.5000, 0.9019) [4 per cell]  11 Ga 2.98-3.31, 2 Pd 2.99-3.00
Tm (0.2474, 0.0000, 0.2513) [4 per cell]  12 Ga 3.09-3.18
Ga (0.0000, 0.0000, 0.0000) [2 per cell]  4 Ga 2.66-2.67, 4 Pd 2.72
Ga (0.0379, 0.0000, 0.1780) [4 per cell]  4 Ga 2.53-2.67, 2 Pd 2.69
Ga (0.0455, 0.5000, 0.6739) [4 per cell]  3 Ga 2.57-2.68, 3 Pd 2.60-2.62
Ga (0.1016, 0.5000, 0.2637) [4 per cell]  4 Ga 2.48-2.68, 1 Pd 2.60
Ga (0.1089, 0.0000, 0.7660) [4 per cell]  4 Ga 2.46-2.62, 1 Pd 2.50
Ga (0.1745, 0.5000, 0.5427) [4 per cell]  3 Ga 2.59-2.62, 3 Pd 2.61
Ga (0.1778, 0.0000, 0.0396) [4 per cell]  4 Ga 2.52-2.66, 2 Pd 2.71
Ga (0.2303, 0.5000, 0.3957) [4 per cell]  4 Ga 2.48-2.62, 1 Pd 2.53
Ga (0.2402, 0.0000, 0.8933) [4 per cell]  4 Ga 2.46-2.66, 1 Pd 2.57
Pd (0.0000, 0.5000, 0.5000) [2 per cell]  4 Ga 2.60-2.61, 4 Pd 2.87
Pd (0.0910, 0.5000, 0.0933) [4 per cell]  8 Ga 2.57-2.72
Pd (0.1058, 0.0000, 0.6032) [4 per cell]  6 Ga 2.50-2.62

Computed properties:
N(E_F): 15.18 states/eV per cell
energy relative to the elements: -0.76 eV/atom
electronic total energy: -27.64 eV/atom
size of the total moment: 0.00 μB/atom

UGa3Pd2: single point on PBEsol structure, SCAN.

Cell lengths 5.2484, 5.2484, 4.2250 Å; angles 90.00, 90.00, 120.00 degrees
Closest atoms and distances in Å follow each position.
Space group P6/mmm (No. 191)
Asymmetric unit:
U (0.0000, 0.0000, 0.0000) [1 per cell]  6 Pd 3.03, 12 Ga 3.37
Ga (0.0000, 0.5000, 0.5000) [3 per cell]  4 Pd 2.60, 4 Ga 2.62
Pd (0.3333, 0.6667, 0.0000) [2 per cell]  6 Ga 2.60

Computed properties:
N(E_F): 8.55 states/eV per cell
energy relative to the elements: -0.43 eV/atom
electronic total energy: -36.78 eV/atom
size of the total moment: 0.39 μB/atom

Ga2PdW: single point on PBEsol structure, SCAN.

Cell lengths 6.1555, 6.1555, 6.1555 Å; angles 90.00, 90.00, 90.00 degrees
Closest atoms and distances in Å follow each position.
Space group Fm-3m (No. 225)
Asymmetric unit:
Ga (0.2500, 0.2500, 0.2500) [8 per cell]  4 W 2.67, 4 Pd 2.67
Pd (0.0000, 0.0000, 0.0000) [4 per cell]  8 Ga 2.67
W (0.0000, 0.0000, 0.5000) [4 per cell]  8 Ga 2.67

Computed properties:
N(E_F): 13.01 states/eV per cell
energy relative to the elements: 0.09 eV/atom
electronic total energy: -33.70 eV/atom
size of the total moment: 0.00 μB/atom

| no. | calculated volume (Å³/cell) |
| --- | --- |
| 1 | 145 |
| 2 | 102 |
| 3 | 88 |
| 4 | 139 |
| 5 | 599 |
| 6 | 962 |
| 7 | 101 |
| 8 | 233 |